This record from Alexandria describes a relaxed structure of Dy3TeSe. The functional is PBE.

Summary:
Calculated total energy (eV/cell): -50.9
Fermi-level density of states (states/eV per atom): 1.00
Total magnetic moment (μB per atom): 0.074
Volume (Å³ per atom): 30.4
Calculated density (g cm⁻³): 7.593

a = 4.0210 Å, b = 7.0072 Å, c = 11.9310 Å
α = 115.44°, β = 90.00°, γ = 90.00°
With the nearest neighbours (Å) after each atom.
Element x y z (fractional)
Dy (0.7500, 0.7738, 0.5625)  3 Se 2.93-2.98, 1 Te 3.13
Dy (0.7500, 0.4552, 0.2401)  1 Se 2.75, 2 Te 3.00
Dy (0.2500, 0.2262, 0.4375)  3 Se 2.93-2.98, 1 Te 3.13
Dy (0.2500, 0.5448, 0.7599)  1 Se 2.75, 2 Te 3.00
Dy (0.2500, 0.2592, 0.9356)  3 Te 3.05-3.21, 1 Se 3.10
Dy (0.7500, 0.7408, 0.0644)  3 Te 3.05-3.21, 1 Se 3.10
Se (0.2500, 0.1106, 0.6503)  4 Dy 2.75-2.98
Se (0.7500, 0.8894, 0.3497)  4 Dy 2.75-2.98
Te (0.7500, 0.8963, 0.8476)  6 Dy 3.00-3.21
Te (0.2500, 0.1037, 0.1524)  6 Dy 3.00-3.21